A plane-wave DFT calculation with GGA-PBE was carried out for an optimized crystal structure of TaCd2Ni.

abc: 9.1819 2.8572 5.5206
angles: 90.00 99.73 90.00
With the nearest neighbours (Å) after each atom.
Space group Cm (No. 8)
Inequivalent atoms, fractional coordinates:
Ta 0.0000 0.0000 0.0000 x2  3 Ni 2.66-2.67, 2 Ta 2.86, 3 Cd 2.91-2.96
Cd 0.2394 0.0000 0.7153 x2  5 Cd 2.80-2.93, 2 Ni 2.85, 3 Ta 2.91-2.99
Cd 0.4788 0.0000 0.4614 x2  5 Cd 2.80-2.93, 2 Ni 2.87, 2 Ta 2.96
Ni 0.2430 0.5000 0.1624 x2  3 Ta 2.66-2.67, 4 Cd 2.85-2.87, 2 Ni 2.86

Output
The formation energy comes out at 0.25 eV per atom.

***

A plane-wave DFT calculation with GGA-PBE was carried out for an optimized crystal structure of PaSiSn2.

abc: 4.3500 4.3500 4.7710
angles: 90.00 90.00 90.00
With the nearest neighbours (Å) after each atom.
Space group P4/mmm (No. 123)
Inequivalent atoms, fractional coordinates:
Pa 0.0000 0.0000 0.0000 x1  4 Si 3.08, 8 Sn 3.23
Si 0.5000 0.5000 0.0000 x1  4 Pa 3.08, 8 Sn 3.23
Sn 0.0000 0.5000 0.5000 x2  4 Sn 3.08, 4 Pa 3.23, 4 Si 3.23

Output
The calculation puts the formation energy without anion corrections at -0.258 eV/atom.

***

A plane-wave DFT calculation with GGA-PBE was carried out for an optimized crystal structure of AcTbTl4.

abc: 7.1918 7.1760 8.3117
angles: 90.00 90.21 90.00
With the nearest neighbours (Å) after each atom.
Space group C2/m (No. 12)
Inequivalent atoms, fractional coordinates:
Ac 0.0000 0.0000 0.0000 x2  8 Tl 3.45
Tb 0.0000 0.5000 0.5000 x2  8 Tl 3.12
Tl 0.2499 0.2490 0.7187 x8  2 Tb 3.12, 2 Ac 3.45

Output
The formation energy comes out at -0.03 eV per atom.

***

A plane-wave DFT calculation with GGA-PBE was carried out for an optimized crystal structure of InIrSe2.

abc: 3.3802 3.3802 7.7595
angles: 90.00 90.00 90.00
With the nearest neighbours (Å) after each atom.
Space group P4mm (No. 99)
Inequivalent atoms, fractional coordinates:
In 0.0000 0.0000 0.0000 x1  5 Se 2.79-3.05
Ir 0.5000 0.5000 0.2659 x1  4 Se 2.58
Se 0.0000 0.0000 0.3925 x1  4 Ir 2.58
Se 0.5000 0.5000 0.8142 x1  4 In 2.79

Output
The calculation puts the formation energy without anion corrections at 0.167 eV/atom.

***

A plane-wave DFT calculation with GGA-PBE was carried out for an optimized crystal structure of TlFeBr2.

abc: 5.3622 5.3622 3.6710
angles: 90.00 90.00 90.00
With the nearest neighbours (Å) after each atom.
Space group P4/mmm (No. 123)
Inequivalent atoms, fractional coordinates:
Tl 0.0000 0.0000 0.0000 x1  8 Br 3.25
Fe 0.5000 0.5000 0.0000 x1  8 Br 3.25
Br 0.0000 0.5000 0.5000 x2  4 Tl 3.25, 4 Fe 3.25

Output
The calculation puts the formation energy without anion corrections at 0.134 eV/atom.